No. 1
The following is a DFT calculation (PBE-GGA) of a relaxed K2AgW crystal.

a = 11.618 Å, b = 11.618 Å, c = 5.489 Å
α = 90.00°, β = 90.00°, γ = 90.00°
Atoms (fractional coordinates):
K 0.111 0.250 0.125
K 0.250 0.611 0.375
K 0.250 0.889 0.875
K 0.389 0.250 0.625
K 0.611 0.750 0.625
K 0.750 0.111 0.875
K 0.750 0.389 0.375
K 0.889 0.750 0.125
Ag 0.000 0.000 0.000
Ag 0.000 0.500 0.250
Ag 0.500 0.000 0.750
Ag 0.500 0.500 0.500
W 0.000 0.000 0.500
W 0.000 0.500 0.750
W 0.500 0.000 0.250
W 0.500 0.500 0.000

Formation energy from the elements ... 1.5062 eV per atom
Energy above the lowest structure with this stoichiometry ... 1.94 eV per formula unit

---

No. 2
The following is a DFT calculation (PBE-GGA) of a relaxed MgTa4Tl crystal.

a = 5.588 Å, b = 5.588 Å, c = 5.588 Å
α = 60.00°, β = 60.00°, γ = 60.00°
Atoms (fractional coordinates):
Mg 0.000 0.000 0.000
Ta 0.120 0.627 0.627
Ta 0.627 0.120 0.627
Ta 0.627 0.627 0.120
Ta 0.627 0.627 0.627
Tl 0.250 0.250 0.250

Formation energy from the elements ... 0.5071 eV per atom

---

No. 3
The following is a DFT calculation (PBE-GGA) of a relaxed AcTcC crystal.

a = 3.600 Å, b = 3.600 Å, c = 4.972 Å
α = 90.00°, β = 90.00°, γ = 120.00°
Atoms (fractional coordinates):
Ac 0.000 0.000 0.000
Tc 0.667 0.333 0.500
C 0.333 0.667 0.500

Formation energy from the elements ... 0.2057 eV per atom
Energy above the lowest structure with this stoichiometry ... 0.62 eV per formula unit

---

No. 4
The following is a DFT calculation (PBE-GGA) of a relaxed TbDy4In5 crystal.

a = 3.746 Å, b = 3.746 Å, c = 18.990 Å
α = 90.00°, β = 90.00°, γ = 90.00°
Atoms (fractional coordinates):
Tb 0.000 0.000 0.000
Dy 0.000 0.000 0.201
Dy 0.000 0.000 0.400
Dy 0.000 0.000 0.600
Dy 0.000 0.000 0.799
In 0.500 0.500 0.101
In 0.500 0.500 0.300
In 0.500 0.500 0.500
In 0.500 0.500 0.700
In 0.500 0.500 0.899

Formation energy from the elements ... -0.4673 eV per atom

---

No. 5
The following is a DFT calculation (PBE-GGA) of a relaxed Er4TmTc2 crystal.

a = 7.766 Å, b = 6.217 Å, c = 7.821 Å
α = 90.00°, β = 111.84°, γ = 90.00°
Atoms (fractional coordinates):
Er 0.113 0.250 0.474
Er 0.175 0.750 0.252
Er 0.261 0.501 0.917
Er 0.261 0.999 0.917
Er 0.739 0.001 0.083
Er 0.739 0.499 0.083
Er 0.825 0.250 0.748
Er 0.887 0.750 0.526
Tm 0.471 0.250 0.342
Tm 0.529 0.750 0.658
Tc 0.078 0.250 0.117
Tc 0.468 0.250 0.744
Tc 0.532 0.750 0.256
Tc 0.922 0.750 0.883

Formation energy from the elements ... -0.0576 eV per atom

---

No. 6
The following is a DFT calculation (PBE-GGA) of a relaxed Bi2Pd8Au crystal.

a = 7.668 Å, b = 7.668 Å, c = 6.611 Å
α = 108.68°, β = 108.68°, γ = 31.75°
Atoms (fractional coordinates):
Bi 0.213 0.213 0.165
Bi 0.787 0.787 0.835
Pd 0.037 0.037 0.231
Pd 0.140 0.140 0.688
Pd 0.327 0.327 0.589
Pd 0.413 0.413 0.049
Pd 0.587 0.587 0.951
Pd 0.673 0.673 0.411
Pd 0.860 0.860 0.312
Pd 0.963 0.963 0.769
Au 0.500 0.500 0.500

Formation energy from the elements ... -0.1803 eV per atom
Energy above the lowest structure with this stoichiometry ... 0.00 eV per formula unit

---

No. 7
The following is a DFT calculation (PBE-GGA) of a relaxed Er8Zn2Os crystal.

a = 9.000 Å, b = 9.000 Å, c = 6.740 Å
α = 107.76°, β = 107.76°, γ = 32.91°
Atoms (fractional coordinates):
Er 0.026 0.026 0.292
Er 0.198 0.198 0.809
Er 0.340 0.340 0.532
Er 0.409 0.409 0.066
Er 0.591 0.591 0.934
Er 0.660 0.660 0.468
Er 0.802 0.802 0.191
Er 0.974 0.974 0.708
Zn 0.183 0.183 0.213
Zn 0.817 0.817 0.787
Os 0.500 0.500 0.500

Formation energy from the elements ... -0.2038 eV per atom
Energy above the lowest structure with this stoichiometry ... 0.00 eV per formula unit

---

No. 8
The following is a DFT calculation (PBE-GGA) of a relaxed Li4TaW3N8 crystal.

a = 6.218 Å, b = 6.218 Å, c = 6.218 Å
α = 57.82°, β = 57.82°, γ = 57.82°
Atoms (fractional coordinates):
Li 0.000 0.000 0.000
Li 0.000 0.500 0.500
Li 0.500 0.000 0.500
Li 0.500 0.500 0.000
Ta 0.500 0.500 0.500
W 0.000 0.000 0.500
W 0.000 0.500 0.000
W 0.500 0.000 0.000
N 0.239 0.744 0.744
N 0.243 0.243 0.243
N 0.256 0.256 0.761
N 0.256 0.761 0.256
N 0.744 0.239 0.744
N 0.744 0.744 0.239
N 0.757 0.757 0.757
N 0.761 0.256 0.256

Final energy ... -135.15 eV/cell

---

No. 9
The following is a DFT calculation (PBE-GGA) of a relaxed ScAl2Ir crystal.

a = 3.008 Å, b = 3.008 Å, c = 26.346 Å
α = 90.00°, β = 90.00°, γ = 120.00°
Atoms (fractional coordinates):
Sc 0.000 0.000 0.000
Sc 0.333 0.667 0.667
Sc 0.667 0.333 0.333
Al 0.000 0.000 0.513
Al 0.000 0.000 0.761
Al 0.333 0.667 0.179
Al 0.333 0.667 0.428
Al 0.667 0.333 0.094
Al 0.667 0.333 0.846
Ir 0.000 0.000 0.253
Ir 0.333 0.667 0.920
Ir 0.667 0.333 0.586

Formation energy from the elements ... -0.3177 eV per atom

---

No. 10
The following is a DFT calculation (PBE-GGA) of a relaxed Te4Ir crystal.

a = 9.172 Å, b = 9.172 Å, c = 3.597 Å
α = 90.00°, β = 90.00°, γ = 90.00°
Atoms (fractional coordinates):
Te 0.099 0.215 0.000
Te 0.215 0.901 0.000
Te 0.285 0.599 0.500
Te 0.401 0.285 0.500
Te 0.599 0.715 0.500
Te 0.715 0.401 0.500
Te 0.785 0.099 0.000
Te 0.901 0.785 0.000
Ir 0.000 0.000 0.500
Ir 0.500 0.500 0.000

Energy above the lowest structure with this stoichiometry ... 0.50 eV per formula unit

---

No. 11
The following is a DFT calculation (PBE-GGA) of a relaxed ScAlZn2 crystal.

a = 5.709 Å, b = 9.286 Å, c = 2.785 Å
α = 90.00°, β = 110.33°, γ = 90.00°
Atoms (fractional coordinates):
Sc 0.000 0.000 0.000
Sc 0.500 0.500 0.000
Al 0.000 0.500 0.000
Al 0.500 0.000 0.000
Zn 0.250 0.250 0.500
Zn 0.250 0.750 0.500
Zn 0.750 0.250 0.500
Zn 0.750 0.750 0.500

Formation energy from the elements ... -0.1172 eV per atom

---

No. 12
The following is a DFT calculation (PBE-GGA) of a relaxed SnHgSb2 crystal.

a = 3.972 Å, b = 3.972 Å, c = 7.389 Å
α = 90.00°, β = 90.00°, γ = 90.00°
Atoms (fractional coordinates):
Sn 0.000 0.000 0.000
Hg 0.000 0.000 0.500
Sb 0.500 0.500 0.207
Sb 0.500 0.500 0.793

Final energy ... -11.95 eV/cell

---

Asked for size of the total moment across the records above, the calculation gives 19.813; 0.000; 0.000; 0.000; 0.000; 0.000; 0.000; 0.000; 0.000; 0.000; 0.665; 0.000 μB per cell in order.